Material: VFe5Ni6
Method: DFT, PBE
State: optimized geometry

Output
**Formation enthalpy at 0 K**: -0.089 eV per atom
**Energy**: -7.2656 eV/atom
**Total moment**: 14.3 μB per cell

```
12
Lattice="4.407 0.000 0.000 0.005 5.005 0.000 0.133 2.493 6.176" Properties=species:S:1:pos:R:3 pbc="T T T"
V 0.000 0.000 0.000
Fe 0.003 2.503 0.000
Fe 1.553 4.999 4.118
Fe 1.561 2.496 4.126
Fe 2.985 5.002 2.049
Fe 2.993 2.499 2.057
Ni 0.786 1.252 2.063
Ni 0.789 3.748 2.063
Ni 2.205 1.261 0.000
Ni 2.341 6.237 6.176
Ni 3.757 3.750 4.113
Ni 3.760 6.246 4.113
```